<1>
A PBEsol-optimized structure of Hg2RuW, computed with SCAN.

The structure in extended XYZ format:
```
8
Lattice="3.9706 0.0000 0.0000 0.0000 3.9706 0.0000 0.0000 0.0000 8.5544" Properties=species:S:1:pos:R:3 pbc="T T T"
Hg 0.0000 1.9853 2.1386
Hg 0.0000 1.9853 6.4158
Hg 1.9853 0.0000 2.1386
Hg 1.9853 0.0000 6.4158
Ru 0.0000 0.0000 0.0000
Ru 1.9853 1.9853 4.2772
W 0.0000 0.0000 4.2772
W 1.9853 1.9853 0.0000
```

Output
Size of the total moment, μB/atom: 0.0060
Space-group type: I4/mmm, No. 139
D(E_F), states/eV/cell: 7.116
Mass density, g/cm3: 16.90

=====

<2>
A PBEsol-optimized structure of Hg2RuW, computed with SCAN.

The structure in extended XYZ format:
```
12
Lattice="2.9021 0.0000 0.0000 -1.4510 2.5133 0.0000 0.0000 0.0000 27.8220" Properties=species:S:1:pos:R:3 pbc="T T T"
Hg 0.0000 0.0000 6.8910
Hg 0.0000 0.0000 20.9310
Hg 0.0000 1.6755 11.6570
Hg 0.0000 1.6755 25.4390
Hg 1.4510 0.8378 2.3830
Hg 1.4510 0.8378 16.1650
Ru 0.0000 0.0000 13.9110
Ru 0.0000 1.6755 4.6370
Ru 1.4510 0.8378 23.1850
W 0.0000 0.0000 0.0000
W 0.0000 1.6755 18.5480
W 1.4510 0.8378 9.2740
```

Output
Size of the total moment, μB/atom: 0.2128
Space-group type: R-3m, No. 166
D(E_F), states/eV/cell: 7.960
Mass density, g/cm3: 16.84

=====

<3>
A PBEsol-optimized structure of Hg2RuW, computed with SCAN.

The structure in extended XYZ format:
```
8
Lattice="5.4301 0.0000 0.0000 0.0000 8.5947 0.0000 0.0000 0.0000 2.9063" Properties=species:S:1:pos:R:3 pbc="T T T"
Hg 1.3575 2.1487 0.0000
Hg 1.3575 6.4461 0.0000
Hg 4.0726 2.1487 0.0000
Hg 4.0726 6.4461 0.0000
Ru 0.0000 0.0000 1.4532
Ru 2.7151 4.2974 1.4532
W 0.0000 4.2974 1.4532
W 2.7151 0.0000 1.4532
```

Output
Size of the total moment, μB/atom: 0.2133
Space-group type: Cmmm, No. 65
D(E_F), states/eV/cell: 7.023
Mass density, g/cm3: 16.80

=====

The data favor <2>; the next most stable structure lies 124 meV per atom above it.